A plane-wave DFT calculation with PBE was carried out for crystalline LaB6W2 at its relaxed geometry.

Its calculated volume is 10.836 Å³/atom. As for the formation energy: -4.0 eV per formula unit. As for the density of states at the Fermi level: 0.303 states/eV/atom.

a b c (Å): 3.1929 7.0787 8.6299
angles (deg): 90.00 90.00 90.00
Space group Immm (No. 71)
Unique sites:
La1 0.0000 0.0000 0.0000 [2 per cell]
B1 0.0000 0.1629 0.5000 [4 per cell]
B2 0.0000 0.2378 0.3055 [8 per cell]
W1 0.0000 0.5000 0.1537 [4 per cell]